No. 1
Material: Zn2CuOs
Method: DFT, SCAN
State: single point on PBEsol structure

```
Zn2CuOs
1.0
-1.404 -0.913 -2.052
2.149 0.157 -1.540
1.853 -7.048 1.866
Zn Os Cu
2 1 1
direct
0.000 0.000 0.998
0.500 0.500 0.262
0.500 0.500 0.743
0.000 0.000 0.497
```

Values from the calculation:
Calculated formation energy = 5.2 kcal/mol of atoms


No. 2
Material: ZnCu2Os
Method: DFT, SCAN
State: single point on PBEsol structure

```
ZnCu2Os
1.0
2.628 0.000 0.000
0.000 4.394 0.000
-1.314 -2.197 4.369
Cu Os Zn
2 1 1
direct
0.743 0.743 0.486
0.257 0.257 0.514
0.500 0.000 0.000
0.000 0.500 0.000
```

Values from the calculation:
Calculated formation energy = 5.3 kcal/mol of atoms


No. 3
Material: ZrCuOs
Method: DFT, SCAN
State: single point on PBEsol structure

```
ZrCuOs
1.0
3.306 0.000 0.000
0.000 3.306 0.000
-1.653 -1.653 4.270
Cu Zr Os
1 1 1
direct
0.007 0.007 0.014
0.330 0.330 0.661
0.662 0.662 0.325
```

Values from the calculation:
Calculated formation energy = -3.8 kcal/mol of atoms